HfBeInTe2 | PBE | optimized geometry

The space group is P4/mmm (No. 123) and the conventional cell measures 5.520, 5.520 and 5.815 Å, with angles of 90.00, 90.00 and 90.00 degrees. Symmetry generates all atoms from Hf at (0.000, 0.000, 0.000), Be at (0.500, 0.500, 0.500), In at (0.000, 0.000, 0.500) and Te at (0.000, 0.500, 0.000).

As for the total moment: 0.00 Bohr magnetons per cell. For the formation energy (no corrections), the calculation gives 0.55 eV/atom.